1.
A relaxed CuSi3O crystal. Source: the Alexandria database, functional PBE.

Computed properties:
As for the excess energy over the best structure of this formula in the dataset: 0.627 eV/atom. The formation energy without anion corrections is 450 kJ/mol of formula units. The density of states at the Fermi level is 0.563 states/eV per atom.

Lattice parameters (Å, degrees): 4.428 4.428 4.428 90.00 90.00 90.00
Space group Pm-3m (No. 221)
Inequivalent atoms, fractional coordinates:
Cu  0.000  0.000  0.000 (multiplicity 1)
Si  0.000  0.000  0.500 (multiplicity 3)
O  0.500  0.500  0.500 (multiplicity 1)

=====

2.
A relaxed CuSi3O crystal. Source: the Alexandria database, functional PBE.

Computed properties:
As for the excess energy over the best structure of this formula in the dataset: 0.000 eV/atom. The formation energy without anion corrections is 147 kJ/mol of formula units. The density of states at the Fermi level is 0.341 states/eV per atom.

Lattice parameters (Å, degrees): 4.114 4.114 4.114 90.00 90.00 90.00
Space group Pm-3m (No. 221)
Inequivalent atoms, fractional coordinates:
Cu  0.000  0.000  0.000 (multiplicity 1)
Si  0.000  0.500  0.500 (multiplicity 3)
O  0.500  0.500  0.500 (multiplicity 1)